(1)
KOs2Pb PBEsol optimized geometry; total energy = -5.8073 eV per atom; DFT formation energy = 1584 meV per atom
1.0
-0.226 -1.370 2.617
-2.939 -3.336 -2.000
4.170 -2.960 -1.190
K Os Pb
1 2 1
Direct
0.000 0.500 0.500
0.000 0.000 0.000
0.500 0.500 0.000
0.500 0.000 0.500

---

(2)
KOsPb PBEsol optimized geometry; total energy = -4.7472 eV per atom; DFT formation energy = 1035 meV per atom
1.0
3.212 0.000 0.000
-1.606 2.782 0.000
0.000 0.000 7.801
K Os Pb
1 1 1
Direct
0.000 0.000 0.979
0.333 0.667 0.641
0.667 0.333 0.380

---

(3)
K2Os2Pd PBEsol optimized geometry; total energy = -4.5490 eV per atom; DFT formation energy = 1982 meV per atom
1.0
-2.702 1.363 -2.068
-2.079 -2.912 0.797
-0.440 4.474 6.772
K Os Pd
2 2 1
Direct
0.250 0.750 0.500
0.750 0.250 0.500
0.427 0.427 0.855
0.573 0.573 0.145
0.000 0.000 0.000

---

(4)
KTa2OsPd PBEsol optimized geometry; total energy = -5.9803 eV per atom; DFT formation energy = 2902 meV per atom
1.0
-1.821 1.994 3.513
2.988 -2.034 2.703
2.829 3.479 -0.509
K Os Pd Ta
1 1 1 2
Direct
0.000 0.000 0.000
0.500 0.500 0.500
0.500 0.000 0.000
0.000 0.000 0.500
0.000 0.500 0.000

---

(5)
K2OsPt PBEsol optimized geometry; total energy = -3.5016 eV per atom; DFT formation energy = 1860 meV per atom
1.0
5.145 0.000 0.000
2.573 4.456 0.000
2.573 1.485 4.201
K Os Pt
2 1 1
Direct
0.250 0.250 0.250
0.750 0.750 0.750
0.000 0.000 0.000
0.500 0.500 0.500

---

(6)
KOs2Pt PBEsol optimized geometry; total energy = -7.1173 eV per atom; DFT formation energy = 1015 meV per atom
1.0
-2.074 -1.399 0.744
2.539 -3.214 1.033
0.625 2.665 6.752
K Os Pt
1 2 1
Direct
0.500 0.500 0.500
0.000 0.000 0.838
0.000 0.000 0.162
0.500 0.500 0.000

---

(7)
K2OsPt PBEsol optimized geometry; total energy = -4.0317 eV per atom; DFT formation energy = 1330 meV per atom
1.0
-0.775 0.976 4.768
2.990 -1.904 3.423
3.115 2.926 2.454
K Os Pt
2 1 1
Direct
0.000 0.000 0.000
0.750 0.750 0.750
0.500 0.500 0.500
0.250 0.250 0.250

---

(8)
K2OsPt PBEsol optimized geometry; total energy = -4.4049 eV per atom; DFT formation energy = 957 meV per atom
1.0
2.669 0.000 0.000
0.000 5.508 0.000
0.000 -2.754 5.359
K Os Pt
2 1 1
Direct
0.000 0.000 0.500
0.000 0.500 0.500
0.500 0.000 0.000
0.500 0.500 0.000